# NaMn2VCl

A geometry-optimized NaMn2VCl structure (PBE, the Alexandria database).

Output
Total DFT energy (no corrections): -5.4247 eV/atom
Size of the total moment: 3.9 μB per formula unit
D(E_F): 4.03 states/eV/f.u.
Crystal system: tetragonal
Uncorrected formation energy: 0.70 eV per atom

a = 4.3892 Å, b = 4.3892 Å, c = 6.6588 Å
α = 90.00°, β = 90.00°, γ = 90.00°
Space group P4/mmm (No. 123)
One atom of each set of equivalent atoms:
Na  0.0000  0.0000  0.0000
Mn  0.0000  0.5000  0.5000
V  0.0000  0.0000  0.5000
Cl  0.5000  0.5000  0.0000